This record from Alexandria via LeMat-Bulk describes CoOs2ClF after structural relaxation. The functional is GGA+U.

symmetry	P4/mmm, No. 123
final energy	-4.773	eV/atom
total moment	5.59	Bohr magnetons per cell

Cell and atoms, written as extended XYZ:
```
5
Lattice="4.0590 0.0000 0.0000 0.0000 4.0590 0.0000 0.0000 0.0000 5.1359" Properties=species:S:1:pos:R:3 pbc="T T T"
Co 0.0000 0.0000 0.0000
Os 0.0000 2.0295 2.5679
Os 2.0295 0.0000 2.5679
Cl 2.0295 2.0295 0.0000
F 2.0295 2.0295 2.5679
```